(1)
Below is a geometry-optimized Co2MoRh structure, with properties calculated at the GGA-PBEsol level.

Structure (POSCAR):
```
Co2MoRh
1.0
0.0000 2.9213 2.9213
2.9213 0.0000 2.9213
2.9213 2.9213 0.0000
Co Mo Rh
2 1 1
Direct
0.0000 0.0000 0.0000
0.2500 0.2500 0.2500
0.7500 0.7500 0.7500
0.5000 0.5000 0.5000
```

## Properties
Formation energy from the elements ... 85.9 kJ/mol of formula units
Uncorrected energy ... -0.317 hartree per atom
DOS(E_F) ... 6.0 states/eV per cell
E above lowest polymorph ... 114.5 kJ/mol of formula units
Magnetization ... 1.0 μB/f.u.



(2)
Below is a geometry-optimized InTc2Sb structure, with properties calculated at the GGA-PBEsol level.

Structure (POSCAR):
```
InTc2Sb
1.0
1.5417 0.8901 8.4170
-1.5417 0.8901 8.4170
0.0000 -1.7801 8.4170
In Tc Sb
1 2 1
Direct
0.0000 0.0000 0.0000
0.2464 0.2464 0.2464
0.7536 0.7536 0.7536
0.5000 0.5000 0.5000
```

## Properties
Uncorrected energy ... -0.263 hartree per atom
E_form (uncorrected) ... 0.36 eV per atom
DOS(E_F) ... 5.7 states/eV per cell
E above lowest polymorph ... 43.5 kJ/mol of formula units
Magnetization ... 0.5 μB/f.u.



(3)
Below is a geometry-optimized BaTl2Cu structure, with properties calculated at the GGA-PBEsol level.

Structure (POSCAR):
```
BaTl2Cu
1.0
0.0000 3.7642 3.7642
3.7642 0.0000 3.7642
3.7642 3.7642 0.0000
Ba Tl Cu
1 2 1
Direct
0.0000 0.0000 0.0000
0.2500 0.2500 0.2500
0.7500 0.7500 0.7500
0.5000 0.5000 0.5000
```

## Properties
Formation energy from the elements ... 17.5 kJ/mol of formula units
Uncorrected energy ... -0.106 hartree per atom
DOS(E_F) ... 2.1 states/eV per cell
Magnetization ... 0.0 μB/f.u.



(4)
Below is a geometry-optimized HfBeAl2Mo structure, with properties calculated at the GGA-PBEsol level.

Structure (POSCAR):
```
HfBeAl2Mo
1.0
4.1576 0.0000 0.0000
0.0000 4.1576 0.0000
0.0000 0.0000 4.5760
Hf Be Al Mo
1 1 2 1
Direct
0.0000 0.0000 0.0000
0.0000 0.0000 0.5000
0.0000 0.5000 0.5000
0.5000 0.0000 0.5000
0.5000 0.5000 0.0000
```

## Properties
Formation energy from the elements ... 251.6 kJ/mol of formula units
Uncorrected energy ... -0.234 hartree per atom
DOS(E_F) ... 4.1 states/eV per cell
Magnetization ... 0.2 μB/f.u.



(5)
Below is a geometry-optimized TiInBW2 structure, with properties calculated at the GGA-PBEsol level.

Structure (POSCAR):
```
TiInBW2
1.0
4.1980 0.0000 0.0000
0.0000 4.1980 0.0000
0.0000 0.0000 4.3378
Ti In B W
1 1 1 2
Direct
0.0000 0.0000 0.0000
0.5000 0.5000 0.0000
0.0000 0.0000 0.5000
0.0000 0.5000 0.5000
0.5000 0.0000 0.5000
```

## Properties
Formation energy from the elements ... 64.4 kJ/mol of formula units
Uncorrected energy ... -0.333 hartree per atom
DOS(E_F) ... 5.1 states/eV per cell
Magnetization ... 0.0 μB/f.u.



(6)
Below is a geometry-optimized PtPbW2 structure, with properties calculated at the GGA-PBEsol level.

Structure (POSCAR):
```
PtPbW2
1.0
4.6971 -1.5684 0.0000
4.6971 1.5684 0.0000
-0.9793 0.0000 4.8389
Pt Pb W
1 1 2
Direct
0.0000 0.0000 0.0000
0.5000 0.5000 0.5000
0.2587 0.2587 0.8009
0.7413 0.7413 0.1991
```

## Properties
Formation energy from the elements ... 188.8 kJ/mol of formula units
Uncorrected energy ... -0.336 hartree per atom
DOS(E_F) ... 2.8 states/eV per cell
Magnetization ... 0.0 μB/f.u.



(7)
Below is a geometry-optimized Tl2Cd2Hg structure, with properties calculated at the GGA-PBEsol level.

Structure (POSCAR):
```
Tl2Cd2Hg
1.0
-2.0277 2.0277 8.1059
2.0277 -2.0277 8.1059
2.0277 2.0277 -8.1059
Tl Cd Hg
2 2 1
Direct
0.0976 0.0976 0.0000
0.9024 0.9024 0.0000
0.2500 0.7500 0.5000
0.7500 0.2500 0.5000
0.5000 0.5000 0.0000
```

## Properties
Formation energy from the elements ... 53.7 kJ/mol of formula units
Uncorrected energy ... -0.056 hartree per atom
DOS(E_F) ... 2.6 states/eV per cell
Magnetization ... 0.0 μB/f.u.



(8)
Below is a geometry-optimized CrIrCl2 structure, with properties calculated at the GGA-PBEsol level.

Structure (POSCAR):
```
CrIrCl2
1.0
1.4095 0.8138 9.1048
-1.4095 0.8138 9.1048
0.0000 -1.6275 9.1048
Cr Ir Cl
1 1 2
Direct
0.0000 0.0000 0.0000
0.5000 0.5000 0.5000
0.2747 0.2747 0.2747
0.7253 0.7253 0.7253
```

## Properties
Uncorrected energy ... -0.207 hartree per atom
E_form (uncorrected) ... 0.38 eV per atom
DOS(E_F) ... 4.2 states/eV per cell
E above lowest polymorph ... 202.8 kJ/mol of formula units
Magnetization ... 0.7 μB/f.u.



(9)
Below is a geometry-optimized HfTiAs3 structure, with properties calculated at the GGA-PBEsol level.

Structure (POSCAR):
```
HfTiAs3
1.0
5.0077 0.0000 0.0000
0.0000 5.0077 0.0000
0.0000 0.0000 5.0077
Hf Ti As
1 1 3
Direct
0.0000 0.0000 0.0000
0.5000 0.5000 0.5000
0.0000 0.0000 0.5000
0.0000 0.5000 0.0000
0.5000 0.0000 0.0000
```

## Properties
Formation energy from the elements ... 214.8 kJ/mol of formula units
Uncorrected energy ... -0.235 hartree per atom
DOS(E_F) ... 7.0 states/eV per cell
Magnetization ... 2.1 μB/f.u.



(10)
Below is a geometry-optimized LiHg2I2 structure, with properties calculated at the GGA-PBEsol level.

Structure (POSCAR):
```
LiHg2I2
1.0
-3.0683 3.0683 4.3367
3.0683 -3.0683 4.3367
3.0683 3.0683 -4.3367
Li Hg I
1 2 2
Direct
0.0000 0.0000 0.0000
0.3427 0.3427 0.0000
0.6573 0.6573 0.0000
0.2500 0.7500 0.5000
0.7500 0.2500 0.5000
```

## Properties
Uncorrected energy ... -0.059 hartree per atom
E_form (uncorrected) ... -0.28 eV per atom
DOS(E_F) ... 0.9 states/eV per cell
E above lowest polymorph ... 25.5 kJ/mol of formula units
Magnetization ... 0.0 μB/f.u.



(11)
Below is a geometry-optimized Ba2SmBiO6 structure, with properties calculated at the GGA-PBEsol level.

Structure (POSCAR):
```
Ba2SmBiO6
1.0
0.0000 4.3516 4.3516
4.3516 0.0000 4.3516
4.3516 4.3516 0.0000
Ba Sm Bi O
2 1 1 6
Direct
0.2500 0.2500 0.2500
0.7500 0.7500 0.7500
0.0000 0.0000 0.0000
0.5000 0.5000 0.5000
0.2582 0.2582 0.7418
0.2582 0.7418 0.2582
0.2582 0.7418 0.7418
0.7418 0.2582 0.2582
0.7418 0.2582 0.7418
0.7418 0.7418 0.2582
```

## Properties
Uncorrected energy ... -0.254 hartree per atom
E_form (uncorrected) ... -2.39 eV per atom
DOS(E_F) ... 0.0 states/eV per cell
Magnetization ... 0.0 μB/f.u.



(12)
Below is a geometry-optimized K3Er structure, with properties calculated at the GGA-PBEsol level.

Structure (POSCAR):
```
K3Er
1.0
0.0000 4.7425 4.7425
4.7425 0.0000 4.7425
4.7425 4.7425 0.0000
K Er
3 1
Direct
0.0000 0.0000 0.0000
0.2500 0.2500 0.2500
0.7500 0.7500 0.7500
0.5000 0.5000 0.5000
```

## Properties
Formation energy from the elements ... 240.1 kJ/mol of formula units
Uncorrected energy ... -0.054 hartree per atom
DOS(E_F) ... 5.6 states/eV per cell
E above lowest polymorph ... 3.3 kJ/mol of formula units
Magnetization ... 0.0 μB/f.u.



(13)
Below is a geometry-optimized TiTePdN2 structure, with properties calculated at the GGA-PBEsol level.

Structure (POSCAR):
```
TiTePdN2
1.0
3.9581 0.0000 0.0000
0.0000 3.9581 0.0000
0.0000 0.0000 5.2956
Ti Te Pd N
1 1 1 2
Direct
0.0000 0.0000 0.0000
0.5000 0.5000 0.0000
0.5000 0.5000 0.5000
0.0000 0.5000 0.5000
0.5000 0.0000 0.5000
```

## Properties
Uncorrected energy ... -0.213 hartree per atom
E_form (uncorrected) ... 1.17 eV per atom
DOS(E_F) ... 5.8 states/eV per cell
Magnetization ... 1.0 μB/f.u.



(14)
Below is a geometry-optimized FeSbIr2 structure, with properties calculated at the GGA-PBEsol level.

Structure (POSCAR):
```
FeSbIr2
1.0
-1.4575 2.2974 4.5056
1.4575 -2.2974 4.5056
1.4575 2.2974 -4.5056
Fe Sb Ir
1 1 2
Direct
0.0000 0.0000 0.0000
0.5000 0.5000 0.0000
0.2544 0.7544 0.5000
0.7456 0.2456 0.5000
```

## Properties
Uncorrected energy ... -0.293 hartree per atom
E_form (uncorrected) ... 0.31 eV per atom
DOS(E_F) ... 3.7 states/eV per cell
Magnetization ... 2.6 μB/f.u.



(15)
Below is a geometry-optimized Mn2TcRu structure, with properties calculated at the GGA-PBEsol level.

Structure (POSCAR):
```
Mn2TcRu
1.0
2.6069 0.0000 0.0000
0.0000 3.5745 0.0000
0.0000 0.0000 5.2279
Mn Tc Ru
2 1 1
Direct
0.0000 0.0000 0.2467
0.0000 0.0000 0.7533
0.5000 0.5000 0.5000
0.5000 0.5000 0.0000
```

## Properties
Formation energy from the elements ... 47.1 kJ/mol of formula units
Uncorrected energy ... -0.372 hartree per atom
DOS(E_F) ... 4.6 states/eV per cell
Magnetization ... 1.6 μB/f.u.



(16)
Below is a geometry-optimized CoRhPb structure, with properties calculated at the GGA-PBEsol level.

Structure (POSCAR):
```
CoRhPb
1.0
-1.5360 1.5360 5.0878
1.5360 -1.5360 5.0878
1.5360 1.5360 -5.0878
Co Rh Pb
1 1 1
Direct
0.0000 0.0000 0.0000
0.3723 0.3723 0.0000
0.6810 0.6810 0.0000
```

## Properties
Formation energy from the elements ... 115.0 kJ/mol of formula units
Uncorrected energy ... -0.229 hartree per atom
DOS(E_F) ... 3.9 states/eV per cell
Magnetization ... 2.2 μB/f.u.



(17)
Below is a geometry-optimized SbP2Rh structure, with properties calculated at the GGA-PBEsol level.

Structure (POSCAR):
```
SbP2Rh
1.0
4.5759 0.0000 0.0000
0.0000 4.5759 0.0000
0.0000 0.0000 3.0679
Sb P Rh
1 2 1
Direct
0.0000 0.0000 0.0000
0.0000 0.5000 0.5000
0.5000 0.0000 0.5000
0.5000 0.5000 0.0000
```

## Properties
Uncorrected energy ... -0.210 hartree per atom
E_form (uncorrected) ... 0.35 eV per atom
DOS(E_F) ... 3.1 states/eV per cell
Magnetization ... 0.0 μB/f.u.



(18)
Below is a geometry-optimized LaPrC4 structure, with properties calculated at the GGA-PBEsol level.

Structure (POSCAR):
```
LaPrC4
1.0
3.8559 0.0000 0.0000
0.0000 3.8559 0.0000
0.0000 0.0000 6.5021
La Pr C
1 1 4
Direct
0.0000 0.0000 0.0000
0.5000 0.5000 0.5000
0.0000 0.0000 0.4002
0.0000 0.0000 0.5998
0.5000 0.5000 0.0997
0.5000 0.5000 0.9003
```

## Properties
Formation energy from the elements ... -60.3 kJ/mol of formula units
Uncorrected energy ... -0.305 hartree per atom
DOS(E_F) ... 2.0 states/eV per cell
Magnetization ... 0.0 μB/f.u.



(19)
Below is a geometry-optimized CrNiIN2 structure, with properties calculated at the GGA-PBEsol level.

Structure (POSCAR):
```
CrNiIN2
1.0
3.6009 0.0000 0.0000
0.0000 3.6009 0.0000
0.0000 0.0000 5.5818
Cr Ni I N
1 1 1 2
Direct
0.0000 0.0000 0.0000
0.5000 0.5000 0.5000
0.0000 0.0000 0.5000
0.0000 0.5000 0.0000
0.5000 0.0000 0.0000
```

## Properties
Uncorrected energy ... -0.234 hartree per atom
E_form (uncorrected) ... 0.66 eV per atom
DOS(E_F) ... 4.5 states/eV per cell
Magnetization ... 0.2 μB/f.u.



(20)
Below is a geometry-optimized YAl3 structure, with properties calculated at the GGA-PBEsol level.

Structure (POSCAR):
```
YAl3
1.0
4.2197 0.0000 0.0000
0.0000 4.2197 0.0000
0.0000 0.0000 4.2197
Y Al
1 3
Direct
0.0000 0.0000 0.0000
0.0000 0.5000 0.5000
0.5000 0.0000 0.5000
0.5000 0.5000 0.0000
```

## Properties
Formation energy from the elements ... -172.5 kJ/mol of formula units
Uncorrected energy ... -0.192 hartree per atom
DOS(E_F) ... 1.3 states/eV per cell
Magnetization ... 0.0 μB/f.u.